VASP calculation (PBE-GGA) on Fe3Cu2Pd8 after structural relaxation.

```
13
Lattice="4.5705 0.5851 0.3825 -0.6251 7.7586 -4.3990 1.4753 -1.3981 6.4104" Properties=species:S:1:pos:R:3 pbc="T T T"
Pd 3.9289 0.0315 4.3080
Pd 1.4918 6.9141 -1.9142
Pd 1.8228 2.8061 0.4150
Pd 3.5979 4.1395 1.9789
Pd 4.5683 1.2562 1.5665
Pd 0.7714 4.3476 -1.5275
Pd 4.6493 2.5980 3.9214
Pd 0.8524 5.6893 0.8273
Cu 3.0324 5.2416 -0.2721
Cu 2.3883 1.7040 2.6660
Fe -0.1578 1.9582 -1.1103
Fe 2.2852 0.2925 0.1912
Fe -0.4673 5.8003 -3.2887
```

Output
SG: C2/m, No. 12
Uncorrected energy: -74.6 eV for the cell shown



VASP calculation (PBE-GGA) on In2PRh after structural relaxation.

```
4
Lattice="3.5272 0.0000 0.0000 0.0000 3.5272 0.0000 0.0000 0.0000 5.8432" Properties=species:S:1:pos:R:3 pbc="T T T"
Rh 1.7636 1.7636 2.9216
P 1.7636 1.7636 0.0000
In 0.0000 0.0000 4.3825
In 0.0000 0.0000 1.4607
```

Output
SG: P4/mmm, No. 123
Uncorrected energy: -18.1 eV for the cell shown



VASP calculation (PBE-GGA) on NbCr2Ag after structural relaxation.

```
8
Lattice="7.0013 0.0000 0.0000 0.0000 7.0013 0.0000 3.5006 3.5006 2.8596" Properties=species:S:1:pos:R:3 pbc="T T T"
Nb 3.5006 3.5006 0.0000
Nb 3.5006 7.0013 1.4298
Ag 7.0013 3.5006 1.4298
Ag 0.0000 0.0000 0.0000
Cr 8.7516 8.6976 2.1447
Cr 5.1970 1.7503 0.7149
Cr 1.8043 5.2510 0.7149
Cr 5.2510 5.3049 2.1447
```

Output
SG: I-42d, No. 122
Uncorrected energy: -56.8 eV for the cell shown



VASP calculation (PBE-GGA) on Sm2Pd3Au4 after structural relaxation.

```
9
Lattice="4.2152 0.0000 0.9022 1.9207 4.8347 1.3243 0.3524 -0.0239 8.6518" Properties=species:S:1:pos:R:3 pbc="T T T"
Au 3.9108 2.7104 2.3247
Au 2.5776 2.1004 8.5535
Au 0.8920 1.5154 6.1309
Au 5.5964 3.2954 4.7473
Sm 4.8117 4.2472 8.4134
Sm 1.6766 0.5637 2.4648
Pd 0.0000 0.0000 0.0000
Pd 3.3876 1.1488 4.7691
Pd 3.1008 3.6621 6.1091
```

Output
SG: C2/m, No. 12
Uncorrected energy: -44.0 eV for the cell shown



Looking at Fermi-level density of states for the records above, in order, we have 10.2 1.9 3.4 3.1 states/eV/f.u..
Looking at size of the total moment for the records above, in order, we have 0.899 0.000 1.448 0.000 μB per atom.
Looking at energy relative to the elements for the records above, in order, we have 53 16 363 -567 kJ/mol of formula units.